(1)
Compound: RbTaOF2
Source: Alexandria
Functional: PBE
Structure: optimized geometry

The value obtained for the energy relative to the elements, uncorrected is -2213 meV/atom. Its density of states at the Fermi level is 0.215 states/eV/atom. The volume comes out at 15.92 Å³/atom.

It has space group P4/mmm (No. 123), with a = 4.4453 Å, b = 4.4453 Å, c = 4.0289 Å, α = 90.00°, β = 90.00° and γ = 90.00°. The asymmetric unit holds Rb at (0.0000, 0.0000, 0.0000), Ta at (0.5000, 0.5000, 0.5000), O at (0.5000, 0.5000, 0.0000) and F at (0.0000, 0.5000, 0.5000).

***

(2)
Compound: Rb2TaOF6
Source: Alexandria
Functional: PBE
Structure: optimized geometry

The value obtained for the energy relative to the elements, uncorrected is -2495 meV/atom. Its density of states at the Fermi level is 0.560 states/eV/atom. The volume comes out at 21.88 Å³/atom.

It has space group I4/mmm (No. 139), with a = 6.9311 Å, b = 6.9311 Å, c = 9.1070 Å, α = 90.00°, β = 90.00° and γ = 90.00°. The asymmetric unit holds Rb at (0.0000, 0.5000, 0.2500), Ta at (0.0000, 0.0000, 0.0000), O at (0.0000, 0.0000, 0.5000), F at (0.0000, 0.0000, 0.2109) and F at (0.1977, 0.1977, 0.0000).

***

(3)
Compound: RbTcO2F
Source: Alexandria
Functional: PBE
Structure: optimized geometry

The value obtained for the energy relative to the elements, uncorrected is -1692 meV/atom. Its density of states at the Fermi level is 0.159 states/eV/atom. The volume comes out at 14.15 Å³/atom.

It has space group P4/mmm (No. 123), with a = 3.8778 Å, b = 3.8778 Å, c = 4.7056 Å, α = 90.00°, β = 90.00° and γ = 90.00°. The asymmetric unit holds Rb at (0.0000, 0.0000, 0.0000), Tc at (0.5000, 0.5000, 0.5000), O at (0.0000, 0.5000, 0.5000) and F at (0.5000, 0.5000, 0.0000).

***

(4)
Compound: RbTcO2F
Source: Alexandria
Functional: PBE
Structure: optimized geometry

The value obtained for the energy relative to the elements, uncorrected is 742 meV/atom. Its density of states at the Fermi level is 0.153 states/eV/atom. The volume comes out at 18.15 Å³/atom.

It has space group P4/mmm (No. 123), with a = 4.3618 Å, b = 4.3618 Å, c = 4.7708 Å, α = 90.00°, β = 90.00° and γ = 90.00°. The asymmetric unit holds Rb at (0.0000, 0.0000, 0.0000), Tc at (0.5000, 0.5000, 0.5000), O at (0.0000, 0.5000, 0.0000) and F at (0.0000, 0.0000, 0.5000).

***

(5)
Compound: RbTcOF2
Source: Alexandria
Functional: PBE
Structure: optimized geometry

The value obtained for the energy relative to the elements, uncorrected is 103 meV/atom. Its density of states at the Fermi level is 0.115 states/eV/atom. The volume comes out at 20.52 Å³/atom.

It has space group P4/mmm (No. 123), with a = 4.8211 Å, b = 4.8211 Å, c = 4.4141 Å, α = 90.00°, β = 90.00° and γ = 90.00°. The asymmetric unit holds Rb at (0.0000, 0.0000, 0.0000), Tc at (0.5000, 0.5000, 0.5000), O at (0.0000, 0.0000, 0.5000) and F at (0.0000, 0.5000, 0.0000).

***

(6)
Compound: Rb2TcOF6
Source: Alexandria
Functional: PBE
Structure: optimized geometry

The value obtained for the energy relative to the elements, uncorrected is -1961 meV/atom. Its density of states at the Fermi level is 1.466 states/eV/atom. The volume comes out at 19.39 Å³/atom.

It has space group I4/mmm (No. 139), with a = 6.5988 Å, b = 6.5988 Å, c = 8.9067 Å, α = 90.00°, β = 90.00° and γ = 90.00°. The asymmetric unit holds Rb at (0.0000, 0.5000, 0.2500), Tc at (0.0000, 0.0000, 0.0000), O at (0.0000, 0.0000, 0.5000), F at (0.0000, 0.0000, 0.2199) and F at (0.2100, 0.2100, 0.0000).

***

Copy entry 6 word for word.
Compound: Rb2TcOF6
Source: Alexandria
Functional: PBE
Structure: optimized geometry

The value obtained for the energy relative to the elements, uncorrected is -1961 meV/atom. Its density of states at the Fermi level is 1.466 states/eV/atom. The volume comes out at 19.39 Å³/atom.

It has space group I4/mmm (No. 139), with a = 6.5988 Å, b = 6.5988 Å, c = 8.9067 Å, α = 90.00°, β = 90.00° and γ = 90.00°. The asymmetric unit holds Rb at (0.0000, 0.5000, 0.2500), Tc at (0.0000, 0.0000, 0.0000), O at (0.0000, 0.0000, 0.5000), F at (0.0000, 0.0000, 0.2199) and F at (0.2100, 0.2100, 0.0000).

***

> Which value of volume does entry 3 give?

14.15 Å³/atom